The following is a PBE-GGA calculation of a relaxed Ac3La4Tm2 crystal, from the Alexandria database.

```
Ac3La4Tm2
1.0
6.391 -0.773 1.433
0.238 9.086 3.611
0.587 -0.673 11.693
Ac La Tm
6 8 4
Direct
0.932 0.035 0.284 Ac
0.068 0.965 0.716 Ac
0.273 0.365 0.618 Ac
0.395 0.303 0.054 Ac
0.605 0.697 0.946 Ac
0.727 0.635 0.382 Ac
0.266 0.516 0.284 La
0.734 0.484 0.716 La
0.927 0.190 0.950 La
0.512 0.094 0.830 La
0.176 0.760 0.500 La
0.824 0.240 0.500 La
0.488 0.906 0.170 La
0.073 0.810 0.050 La
0.162 0.578 0.837 Tm
0.838 0.422 0.163 Tm
0.601 0.857 0.613 Tm
0.399 0.143 0.387 Tm
```

## Properties
Density   7.61 g/cm3
Formation energy from the elements   51 meV per atom
Magnetic moment   0.0 μB/f.u.
Calculated volume   687 Å³ per cell